Entry from Alexandria: CeCuGe2 after structural relaxation (GGA-PBE).

abc: 4.298 4.298 4.191
angles: 90.00 90.00 90.00
Space group P4/mmm (No. 123)
Inequivalent atoms, fractional coordinates:
Ce  0.000  0.000  0.000 [1 per cell]
Cu  0.500  0.500  0.000 [1 per cell]
Ge  0.000  0.500  0.500 [2 per cell]

Computed properties:
energy of formation	-0.355	eV/atom
V	77.4	Å³/f.u.
VASP energy	-20.68	eV per formula unit


Entry from Alexandria: Cs2Tm3NpO8 after structural relaxation (GGA-PBE).

abc: 6.846 6.846 8.244
angles: 65.64 65.55 60.00
Space group P1 (No. 1)
Inequivalent atoms, fractional coordinates:
Cs  0.000  0.000  0.000 [1 per cell]
Cs  0.343  0.344  0.971 [1 per cell]
Tm  0.001  0.002  0.492 [1 per cell]
Tm  0.001  0.506  0.492 [1 per cell]
Tm  0.505  0.002  0.492 [1 per cell]
Np  0.512  0.513  0.463 [1 per cell]
O  0.214  0.214  0.358 [1 per cell]
O  0.227  0.721  0.331 [1 per cell]
O  0.303  0.304  0.626 [1 per cell]
O  0.303  0.767  0.626 [1 per cell]
O  0.721  0.227  0.331 [1 per cell]
O  0.721  0.721  0.331 [1 per cell]
O  0.766  0.304  0.626 [1 per cell]
O  0.791  0.792  0.627 [1 per cell]

Computed properties:
raw formation energy	-2.97	eV per atom
V	294.1	Å³/f.u.
VASP energy	-109.27	eV per formula unit


| no. | D(E_F) (states/eV per cell) |
| --- | --- |
| 1 | 3.84 |
| 2 | 8.10 |